(1)
{"formula": "Ga2FeGe", "functional": "PBE-GGA", "state": "optimized geometry", "total_magnetization_mub_per_fu": 0.000, "crystal_system": "tetragonal", "sg": "No. 122", "energy_ev_per_cell": -38.4, "e_form_ev_per_atom": -0.0212, "lattice_angstrom": [[8.982, 0.000, 0.000], [0.000, 8.982, 0.000], [4.491, 4.491, 2.217]], "species": ["Ga", "Ga", "Ga", "Ga", "Fe", "Fe", "Ge", "Ge"], "frac_coords": [[0.374, 0.625, 0.250], [0.875, 0.626, 0.750], [0.375, 0.624, 0.750], [0.376, 0.125, 0.250], [0.250, 0.750, 0.500], [0.500, 0.500, 0.000], [0.000, 0.000, 0.000], [0.750, 0.250, 0.500]]}

=====

(2)
{"formula": "PmMgRh", "functional": "PBE-GGA", "state": "optimized geometry", "total_magnetization_mub_per_fu": 0.000, "crystal_system": "trigonal", "sg": "No. 156", "energy_ev_per_cell": -14.9, "de_polymorph_mev_per_atom": 221, "e_form_ev_per_atom": -0.3968, "lattice_angstrom": [[-0.667, -1.861, -3.260], [4.429, -0.042, -0.882], [-1.872, -3.392, 2.319]], "species": ["Pm", "Mg", "Rh"], "frac_coords": [[0.667, 0.667, 0.333], [0.167, 0.333, 0.667], [0.166, 0.000, 0.000]]}